Computed, not measured: a relaxed structure of Tm2Cd5Au at the PBE-GGA level of DFT.

a b c (Å): 4.7185 4.7185 31.6764
angles (deg): 90.00 90.00 120.00
Space group R-3m (No. 166, hexagonal axes)
Asymmetric unit:
Tm: 0.0000 0.0000 0.0909 [6 per cell]
Cd: 0.0000 0.0000 0.1979 [6 per cell]
Cd: 0.0000 0.0000 0.3654 [6 per cell]
Cd: 0.0000 0.0000 0.5000 [3 per cell]
Au: 0.0000 0.0000 0.0000 [3 per cell]

The calculation puts the total energy at -2.2396 eV per atom. The value obtained for the calculated formation energy is -0.14 eV per atom.